Entry from Alexandria: K2ScP after structural relaxation (PBE).

```
data_K2ScP
_cell_length_a 5.2844
_cell_length_b 5.2844
_cell_length_c 7.6566
_cell_angle_alpha 90.00
_cell_angle_beta 90.00
_cell_angle_gamma 90.00
_space_group_name_H-M_alt 'P 1'
_space_group_IT_number 1
_space_group_name_Hall 'P 1'
loop_
_atom_site_label
_atom_site_type_symbol
_atom_site_fract_x
_atom_site_fract_y
_atom_site_fract_z
K1 K 0.0000 0.0000 0.0000
K2 K 0.0000 0.5000 0.2500
K3 K 0.5000 0.0000 0.7500
K4 K 0.5000 0.5000 0.5000
Sc1 Sc 0.0000 0.0000 0.5000
Sc2 Sc 0.5000 0.5000 0.0000
P1 P 0.0000 0.5000 0.7500
P2 P 0.5000 0.0000 0.2500
```

Space group: I-4m2 (119)
Mass density: 2394 kg/m³
Total magnetic moment: 3.933 μB per cell
Formation energy: 0.316 eV/atom
V: 214 Å³ per cell
Total DFT energy (no corrections): -25.34 eV for the cell shown
N(E_F): 1.218 states/eV per atom